Material: CaPr7Y12
Method: DFT, PBE
State: relaxed

a b c (Å): 9.9030 9.9030 9.9030
angles (deg): 109.47 109.47 109.47
Closest atoms and distances in Å follow each position.
Sites, in units of the cell vectors:
Y1 0.7469 0.2524 0.9993  2 Pr 2.86
Y2 0.2531 0.2524 0.5055  2 Pr 2.86
Y3 0.2524 0.5055 0.2531  2 Pr 2.86
Y4 0.2524 0.9993 0.7469  2 Pr 2.86
Y5 0.7469 0.7476 0.4945  2 Pr 2.86
Y6 0.7476 0.4945 0.7469  2 Pr 2.86
Y7 0.2531 0.7476 0.0007  2 Pr 2.86
Y8 0.4945 0.7469 0.7476  2 Pr 2.86
Y9 0.7476 0.0007 0.2531  2 Pr 2.86
Y10 0.0007 0.2531 0.7476  2 Pr 2.86
Y11 0.5055 0.2531 0.2524  2 Pr 2.86
Y12 0.9993 0.7469 0.2524  2 Pr 2.86
Pr1 0.5000 0.5000 0.0000  12 Y 4.00-4.05
Pr2 0.5000 0.0000 0.0000  6 Y 2.86
Pr3 0.0000 0.5000 0.5000  12 Y 4.00-4.05
Pr4 0.5000 0.0000 0.5000  12 Y 4.00-4.05
Pr5 0.5000 0.5000 0.5000  6 Y 2.86
Pr6 0.0000 0.5000 0.0000  6 Y 2.86
Pr7 0.0000 0.0000 0.5000  6 Y 2.86
Ca1 0.0000 0.0000 0.0000  12 Y 4.09

Properties
**Electronic total energy**: -5.060 eV/atom
**N(E_F)**: 28.70 states/eV/cell
**SG**: No. 204